[1]
Here is an optimized crystal structure of SmP2Pd2 from the Open Quantum Materials Database. Energies are from PBE-GGA.

The magnetization is 0.001 Bohr magnetons per cell. As for the total energy: -6.105 eV per atom. Its volume is 17.53 Å³/atom.

The space group is P4/nmm (No. 129, origin choice 2) and the conventional cell measures 4.2877, 4.2877 and 9.5357 Å, with angles of 90.00, 90.00 and 90.00 degrees. Symmetry generates all atoms from Sm at (0.2500, 0.2500, 0.2434), P at (0.2500, 0.2500, 0.6330), P at (0.2500, 0.7500, 0.0000), Pd at (0.2500, 0.2500, 0.8823) and Pd at (0.2500, 0.7500, 0.5000).



[2]
Here is an optimized crystal structure of SmP2Pd2 from the Open Quantum Materials Database. Energies are from PBE-GGA.

The magnetization is 0.000 Bohr magnetons per cell. As for the total energy: -6.140 eV per atom. Its volume is 17.06 Å³/atom.

The space group is I4/mmm (No. 139) and the conventional cell measures 4.1415, 4.1415 and 9.9464 Å, with angles of 90.00, 90.00 and 90.00 degrees. Symmetry generates all atoms from Sm at (0.0000, 0.0000, 0.0000), P at (0.0000, 0.0000, 0.3879) and Pd at (0.0000, 0.5000, 0.2500).



[3]
Here is an optimized crystal structure of Sm3P4Pd7 from the Open Quantum Materials Database. Energies are from PBE-GGA.

The magnetization is 0.035 Bohr magnetons per cell. As for the total energy: -6.131 eV per atom. Its volume is 17.37 Å³/atom.

The space group is C2/m (No. 12) and the conventional cell measures 15.5623, 4.0520 and 9.5039 Å, with angles of 90.00, 125.77 and 90.00 degrees. Symmetry generates all atoms from Sm at (0.0000, 0.0000, 0.0000), Sm at (0.1805, 0.5000, 0.6777), P at (0.1056, 0.0000, 0.8197), P at (0.1594, 0.5000, 0.2565), Pd at (0.0000, 0.0000, 0.5000), Pd at (0.0096, 0.5000, 0.2825), Pd at (0.1672, 0.0000, 0.4198) and Pd at (0.1945, 0.5000, 0.0288).



[4]
Here is an optimized crystal structure of Sm2PPd8 from the Open Quantum Materials Database. Energies are from PBE-GGA.

The magnetization is 0.036 Bohr magnetons per cell. As for the total energy: -5.836 eV per atom. Its volume is 18.43 Å³/atom.

The space group is Amm2 (No. 38) and the conventional cell measures 4.3662, 17.4094 and 5.3353 Å, with angles of 90.00, 90.00 and 90.00 degrees. Symmetry generates all atoms from Sm at (0.0000, 0.1245, 0.0000), P at (0.5000, 0.0000, 0.2662), Pd at (0.0000, 0.0000, 0.4768), Pd at (0.0000, 0.2020, 0.5013), Pd at (0.5000, 0.0000, 0.8466), Pd at (0.5000, 0.1113, 0.4854) and Pd at (0.5000, 0.2417, 0.7734).



[5]
Here is an optimized crystal structure of Sm2P3Pd6 from the Open Quantum Materials Database. Energies are from PBE-GGA.

The magnetization is 0.018 Bohr magnetons per cell. As for the total energy: -6.065 eV per atom. Its volume is 17.73 Å³/atom.

The space group is P-62m (No. 189) and the conventional cell measures 7.3484, 7.3484 and 4.1713 Å, with angles of 90.00, 90.00 and 120.00 degrees. Symmetry generates all atoms from Sm at (0.3333, 0.6667, 0.0000), P at (0.0000, 0.6340, 0.5000), Pd at (0.0000, 0.3114, 0.5000) and Pd at (0.0000, 0.7864, 0.0000).



[6]
Here is an optimized crystal structure of Sr3P4Pd4 from the Open Quantum Materials Database. Energies are from PBE-GGA.

As for the total energy: -5.251 eV per atom. Its volume is 20.11 Å³/atom.

The space group is Pmmm (No. 47) and the conventional cell measures 4.1938, 4.2965 and 12.2742 Å, with angles of 90.00, 90.00 and 90.00 degrees. Symmetry generates all atoms from Sr at (0.0000, 0.0000, 0.0000), Sr at (0.5000, 0.0000, 0.2971), P at (0.0000, 0.5000, 0.3872), P at (0.5000, 0.5000, 0.0935), Pd at (0.0000, 0.0000, 0.5000), Pd at (0.0000, 0.5000, 0.1899) and Pd at (0.5000, 0.5000, 0.5000).



[7]
Here is an optimized crystal structure of SrPPd3 from the Open Quantum Materials Database. Energies are from PBE-GGA.

The energy above the most stable polymorph in this dataset comes out at 0.120 eV per atom. Its volume is 20.28 Å³/atom.

The space group is Pm-3m (No. 221) and the conventional cell measures 4.6629, 4.6629 and 4.6629 Å, with angles of 90.00, 90.00 and 90.00 degrees. Symmetry generates all atoms from Sr at (0.0000, 0.0000, 0.0000), P at (0.5000, 0.5000, 0.5000) and Pd at (0.0000, 0.5000, 0.5000).



[8]
Here is an optimized crystal structure of SrP2Pd5 from the Open Quantum Materials Database. Energies are from PBE-GGA.

As for the total energy: -5.485 eV per atom. Its volume is 17.44 Å³/atom.

The space group is Immm (No. 71) and the conventional cell measures 4.1332, 7.0097 and 9.6294 Å, with angles of 90.00, 90.00 and 90.00 degrees. Symmetry generates all atoms from Sr at (0.0000, 0.0000, 0.0000), P at (0.0000, 0.5000, 0.2417), Pd at (0.0000, 0.1964, 0.3421) and Pd at (0.0000, 0.5000, 0.0000).